# 1
First-principles (PBE) data for a relaxed Ca2MgPdC crystal, as listed in the Alexandria database.

Structure (POSCAR):
```
Ca2MgPdC
1.0
5.684 0.000 0.000
0.000 3.937 0.000
0.000 0.000 5.684
C Ca Mg Pd
1 2 1 1
direct
0.000 0.500 0.000 C
0.000 0.000 0.500 Ca
0.500 0.000 0.000 Ca
0.500 0.500 0.500 Mg
0.000 0.000 0.000 Pd
```

Calculated values
DFT formation energy = 0.334 eV per atom
Space-group type = P4/mmm (123)

# 2
First-principles (PBE) data for a relaxed CaMgRh2C crystal, as listed in the Alexandria database.

Structure (POSCAR):
```
CaMgRh2C
1.0
-0.674 2.171 3.562
0.959 -3.431 2.273
4.172 1.204 0.056
C Ca Rh Mg
1 1 2 1
direct
0.000 0.000 0.000 C
0.500 0.500 0.500 Ca
0.000 0.500 0.000 Rh
0.500 0.000 0.000 Rh
0.000 0.000 0.500 Mg
```

Calculated values
DFT formation energy = -0.098 eV per atom
Space-group type = P4/mmm (123)

# 3
First-principles (PBE) data for a relaxed CaMgRh2C crystal, as listed in the Alexandria database.

Structure (POSCAR):
```
CaMgRh2C
1.0
4.709 0.000 0.000
0.000 4.098 0.000
0.000 0.000 4.709
C Ca Rh Mg
1 1 2 1
direct
0.000 0.500 0.000 C
0.500 0.500 0.500 Ca
0.000 0.000 0.500 Rh
0.500 0.000 0.000 Rh
0.000 0.000 0.000 Mg
```

Calculated values
DFT formation energy = 1.042 eV per atom
Space-group type = P4/mmm (123)

# 4
First-principles (PBE) data for a relaxed Ca2MgCSe crystal, as listed in the Alexandria database.

Structure (POSCAR):
```
Ca2MgCSe
1.0
5.026 0.000 0.000
0.000 4.551 0.000
0.000 0.000 5.026
C Ca Mg Se
1 2 1 1
direct
0.000 0.000 0.000 C
0.000 0.000 0.500 Ca
0.500 0.000 0.000 Ca
0.500 0.500 0.500 Mg
0.000 0.500 0.000 Se
```

Calculated values
Formation energy without anion corrections = 0.17 eV/atom
Space-group type = P4/mmm (123)